# LaPrI2N

Crystalline LaPrI2N at its relaxed geometry (GGA-PBE, the Alexandria database).

## Properties
- SG: P4/nmm (129)
- Total magnetization: 0.35 μB/f.u.
- Raw total energy: -5.3896 eV per atom

Cell lengths 4.411, 4.411, 15.854 Å; angles 90.00, 90.00, 90.00 degrees
Last column: magnetic moment on the atom in μB.
Atoms (fractional coordinates):
1 I 0.500 0.000 0.289  0.00
2 I 0.000 0.500 0.711  0.00
3 I 0.500 0.000 0.873  0.00
4 I 0.000 0.500 0.127  0.00
5 N 0.500 0.500 0.500  0.25
6 N 0.000 0.000 0.500  0.25
7 La 0.000 0.500 0.915  0.00
8 La 0.500 0.000 0.085  0.00
9 Pr 0.000 0.500 0.438  -0.01
10 Pr 0.500 0.000 0.562  -0.01

---

# LaPrIN

Crystalline LaPrIN at its relaxed geometry (GGA-PBE, the Alexandria database).

## Properties
- SG: Cm (8)
- Total magnetization: 0.00 μB/f.u.
- Raw total energy: -6.1147 eV per atom

Cell lengths 3.840, 3.848, 8.167 Å; angles 89.98, 103.60, 120.06 degrees
Atoms (fractional coordinates):
1 I 0.966 0.381 0.362
2 N 0.302 0.549 0.867
3 La 0.524 0.160 0.699
4 Pr 0.086 0.941 0.042

---

# LaPr2I2N2

Crystalline LaPr2I2N2 at its relaxed geometry (GGA-PBE, the Alexandria database).

## Properties
- SG: I4/mmm (139)
- Total magnetization: 1.01 μB/f.u.
- Raw total energy: -5.9218 eV per atom

Cell lengths 4.704, 4.704, 10.206 Å; angles 103.32, 103.32, 90.00 degrees
Last column: magnetic moment on the atom in μB.
Atoms (fractional coordinates):
1 N 0.500 0.000 0.000  -0.03
2 N 0.000 0.500 0.000  -0.03
3 Pr 0.579 0.579 0.157  0.35
4 Pr 0.421 0.421 0.843  0.35
5 I 0.170 0.170 0.340  0.00
6 I 0.830 0.830 0.660  0.00
7 La 0.000 0.000 0.000  0.01

---

# LaPtI2N

Crystalline LaPtI2N at its relaxed geometry (GGA-PBE, the Alexandria database).

## Properties
- SG: P4/mmm (123)
- Total magnetization: 0.35 μB/f.u.
- Raw total energy: -4.5645 eV per atom

Cell lengths 6.043, 6.043, 3.750 Å; angles 90.00, 90.00, 90.00 degrees
Last column: magnetic moment on the atom in μB.
Atoms (fractional coordinates):
1 N 0.000 0.000 0.500  0.01
2 I 0.000 0.500 0.000  0.00
3 I 0.500 0.000 0.000  0.00
4 Pt 0.000 0.000 0.000  0.02
5 La 0.500 0.500 0.500  0.20

---

# LaPtI2N

Crystalline LaPtI2N at its relaxed geometry (GGA-PBE, the Alexandria database).

## Properties
- SG: P4/mmm (123)
- Total magnetization: 1.16 μB/f.u.
- Raw total energy: -4.0412 eV per atom

Cell lengths 6.370, 6.370, 4.075 Å; angles 90.00, 90.00, 90.00 degrees
Last column: magnetic moment on the atom in μB.
Atoms (fractional coordinates):
1 I 0.000 0.500 0.000  0.10
2 I 0.500 0.000 0.000  0.10
3 Pt 0.500 0.500 0.500  0.69
4 N 0.000 0.000 0.500  0.10
5 La 0.000 0.000 0.000  0.07

---

# LaPuIN2

Crystalline LaPuIN2 at its relaxed geometry (GGA-PBE, the Alexandria database).

## Properties
- SG: P2_1/m (11)
- Total magnetization: 4.00 μB/f.u.
- Raw total energy: -8.8880 eV per atom

Cell lengths 4.178, 7.524, 8.047 Å; angles 106.32, 90.00, 90.00 degrees
Last column: magnetic moment on the atom in μB.
Atoms (fractional coordinates):
1 La 0.250 0.661 0.921  0.00
2 La 0.750 0.339 0.079  0.00
3 N 0.750 0.525 0.397  -0.24
4 N 0.750 0.505 0.861  -0.11
5 N 0.250 0.475 0.603  -0.24
6 N 0.250 0.495 0.139  -0.11
7 Pu 0.250 0.635 0.410  4.28
8 Pu 0.750 0.365 0.590  4.28
9 I 0.750 0.961 0.253  -0.01
10 I 0.250 0.039 0.747  -0.01

---

# RbLaI2N

Crystalline RbLaI2N at its relaxed geometry (GGA-PBE, the Alexandria database).

## Properties
- SG: P4/mmm (123)
- Total magnetization: 1.63 μB/f.u.
- Raw total energy: -2.9917 eV per atom

Cell lengths 6.376, 6.376, 4.520 Å; angles 90.00, 90.00, 90.00 degrees
Last column: magnetic moment on the atom in μB.
Atoms (fractional coordinates):
1 N 0.000 0.000 0.500  0.71
2 Rb 0.000 0.000 0.000  0.04
3 I 0.500 0.000 0.000  0.01
4 I 0.000 0.500 0.000  0.01
5 La 0.500 0.500 0.500  0.33

---

# RbLaI2N

Crystalline RbLaI2N at its relaxed geometry (GGA-PBE, the Alexandria database).

## Properties
- SG: P4/mmm (123)
- Total magnetization: 0.30 μB/f.u.
- Raw total energy: -4.4527 eV per atom

Cell lengths 6.672, 6.672, 4.313 Å; angles 90.00, 90.00, 90.00 degrees
Last column: magnetic moment on the atom in μB.
Atoms (fractional coordinates):
1 La 0.000 0.000 0.000  0.03
2 Rb 0.500 0.500 0.500  0.00
3 N 0.000 0.000 0.500  0.17
4 I 0.500 0.000 0.000  0.01
5 I 0.000 0.500 0.000  0.01

---

# La6Rh2I3N

Crystalline La6Rh2I3N at its relaxed geometry (GGA-PBE, the Alexandria database).

## Properties
- SG: C2/m (12)
- Total magnetization: 0.00 μB/f.u.
- Raw total energy: -5.8474 eV per atom

Cell lengths 7.152, 7.152, 8.522 Å; angles 98.02, 98.02, 119.97 degrees
Atoms (fractional coordinates):
1 Rh 0.334 0.666 0.000
2 Rh 0.666 0.334 0.000
3 La 0.749 0.749 0.180
4 La 0.940 0.629 0.822
5 La 0.629 0.940 0.822
6 La 0.060 0.371 0.178
7 La 0.251 0.251 0.820
8 La 0.371 0.060 0.178
9 I 0.829 0.171 0.500
10 I 0.171 0.829 0.500
11 I 0.500 0.500 0.500
12 N 0.000 0.000 0.000

---

# La8Rh3I4N

Crystalline La8Rh3I4N at its relaxed geometry (GGA-PBE, the Alexandria database).

## Properties
- SG: C2/m (12)
- Total magnetization: 0.05 μB/f.u.
- Raw total energy: -5.7981 eV per atom

Cell lengths 8.164, 9.572, 8.387 Å; angles 116.44, 119.12, 90.00 degrees
Atoms (fractional coordinates):
1 La 0.229 0.685 0.459
2 La 0.241 0.322 0.026
3 La 0.733 0.688 0.465
4 La 0.215 0.678 0.974
5 La 0.771 0.315 0.541
6 La 0.785 0.322 0.026
7 La 0.267 0.312 0.535
8 La 0.759 0.678 0.974
9 Rh 0.500 0.500 0.500
10 Rh 0.500 0.500 0.000
11 Rh 0.000 0.500 0.500
12 I 0.000 0.000 0.000
13 I 0.500 0.000 0.500
14 I 0.000 0.000 0.500
15 I 0.500 0.000 0.000
16 N 0.000 0.500 0.000

---

# LaRhI2N

Crystalline LaRhI2N at its relaxed geometry (GGA-PBE, the Alexandria database).

## Properties
- SG: P4/mmm (123)
- Total magnetization: 0.01 μB/f.u.
- Raw total energy: -4.9090 eV per atom

Cell lengths 5.784, 5.784, 3.777 Å; angles 90.00, 90.00, 90.00 degrees
Atoms (fractional coordinates):
1 N 0.000 0.000 0.500
2 La 0.500 0.500 0.500
3 I 0.000 0.500 0.000
4 I 0.500 0.000 0.000
5 Rh 0.000 0.000 0.000

---

# LaRhIN2

Crystalline LaRhIN2 at its relaxed geometry (GGA-PBE, the Alexandria database).

## Properties
- SG: P4/mmm (123)
- Total magnetization: 1.39 μB/f.u.
- Raw total energy: -5.0642 eV per atom

Cell lengths 4.211, 4.211, 6.965 Å; angles 90.00, 90.00, 90.00 degrees
Last column: magnetic moment on the atom in μB.
Atoms (fractional coordinates):
1 N 0.000 0.500 0.000  0.02
2 N 0.500 0.000 0.000  0.02
3 La 0.000 0.000 0.000  0.00
4 I 0.000 0.000 0.500  0.03
5 Rh 0.500 0.500 0.500  1.14